Be2B2Pt | GGA-PBEsol | relaxed

Results
Formation energy: -0.183 eV per atom
Magnetic moment: 0.00 μB per cell

Geometry as CIF:
```
data_Be2B2Pt
_cell_length_a 5.399
_cell_length_b 5.399
_cell_length_c 3.014
_cell_angle_alpha 90.00
_cell_angle_beta 90.00
_cell_angle_gamma 90.00
_symmetry_space_group_name_H-M 'P 4/m b m'
_symmetry_Int_Tables_number 127
_symmetry_space_group_name_Hall '-P 4 2ab'
loop_
_atom_site_label
_atom_site_type_symbol
_atom_site_fract_x
_atom_site_fract_y
_atom_site_fract_z
Be1 Be 0.157 0.343 0.000
B1 B 0.107 0.607 0.500
Pt1 Pt 0.000 0.000 0.500
```


HgMoIr | GGA-PBEsol | relaxed

Results
Formation energy: 0.570 eV per atom
Magnetic moment: 0.01 μB per cell

Geometry as CIF:
```
data_HgMoIr
_cell_length_a 6.094
_cell_length_b 6.094
_cell_length_c 6.094
_cell_angle_alpha 90.00
_cell_angle_beta 90.00
_cell_angle_gamma 90.00
_symmetry_space_group_name_H-M 'F -4 3 m'
_symmetry_Int_Tables_number 216
_symmetry_space_group_name_Hall 'F -4 2 3'
loop_
_atom_site_label
_atom_site_type_symbol
_atom_site_fract_x
_atom_site_fract_y
_atom_site_fract_z
Hg1 Hg 0.000 0.000 0.000
Mo1 Mo 0.000 0.000 0.500
Ir1 Ir 0.250 0.250 0.250
```


ReSiP2 | GGA-PBEsol | relaxed

Results
E_form (uncorrected): 0.367 eV per atom
Magnetic moment: 0.00 μB per cell

Geometry as CIF:
```
data_ReSiP2
_cell_length_a 5.973
_cell_length_b 5.973
_cell_length_c 5.973
_cell_angle_alpha 90.00
_cell_angle_beta 90.00
_cell_angle_gamma 90.00
_symmetry_space_group_name_H-M 'F -4 3 m'
_symmetry_Int_Tables_number 216
_symmetry_space_group_name_Hall 'F -4 2 3'
loop_
_atom_site_label
_atom_site_type_symbol
_atom_site_fract_x
_atom_site_fract_y
_atom_site_fract_z
Re1 Re 0.000 0.000 0.000
Si1 Si 0.250 0.250 0.750
P1 P 0.000 0.000 0.500
P2 P 0.250 0.250 0.250
```


La2Mn2O5 | GGA-PBEsol | relaxed

Results
E_form (uncorrected): -2.447 eV per atom
Magnetic moment: 31.42 μB per cell

Geometry as CIF:
```
data_La2Mn2O5
_cell_length_a 5.414
_cell_length_b 15.524
_cell_length_c 5.450
_cell_angle_alpha 90.00
_cell_angle_beta 90.00
_cell_angle_gamma 90.00
_symmetry_space_group_name_H-M 'I m m a'
_symmetry_Int_Tables_number 74
_symmetry_space_group_name_Hall '-I 2b 2'
loop_
_atom_site_label
_atom_site_type_symbol
_atom_site_fract_x
_atom_site_fract_y
_atom_site_fract_z
La1 La 0.000 0.128 0.016
Mn1 Mn 0.000 0.000 0.500
Mn2 Mn 0.000 0.250 0.538
O1 O 0.000 0.128 0.577
O2 O 0.250 0.023 0.250
O3 O 0.250 0.250 0.250
```


What ρ values result from the calculations? In sequence: 8.87; 14.35; 8.61; 6.78 g/cm3.